No. 1
# Cr2InSe

A geometry-optimized Cr2InSe structure (PBE-GGA, the Alexandria database).

```
Cr2InSe
1.0
-0.9146 -4.6852 1.7355
2.0296 -0.0382 4.6560
-3.2674 3.3312 -2.0065
Se Cr In
1 2 1
direct
0.7500 0.2500 0.5000 Se
0.0000 0.0000 0.0000 Cr
0.5000 0.5000 0.0000 Cr
0.2500 0.7500 0.5000 In
```

Output
uncorrected energy: -5.941 eV/atom
V: 19.46 Å³/atom
symmetry: I4/mmm
offset from the most stable computed form: 304 meV/atom
raw formation energy: 0.427 eV per atom

=====

No. 2
# Cr2InSe

A geometry-optimized Cr2InSe structure (PBE-GGA, the Alexandria database).

```
Cr2InSe
1.0
4.8184 -0.0058 0.0078
-0.7864 4.7538 0.0078
-0.0059 -0.0069 3.2721
Cr In Se
2 1 1
direct
0.5000 0.5000 0.0000 Cr
0.0000 0.0000 0.0000 Cr
0.5000 0.0000 0.5000 In
0.0000 0.5000 0.5000 Se
```

Output
uncorrected energy: -6.000 eV/atom
V: 18.73 Å³/atom
symmetry: Cmmm
offset from the most stable computed form: 245 meV/atom
raw formation energy: 0.368 eV per atom

=====

No. 3
# Cr4InSe8

A geometry-optimized Cr4InSe8 structure (PBE-GGA, the Alexandria database).

```
Cr4InSe8
1.0
6.5204 0.0000 3.7645
2.1735 6.1475 3.7645
0.0000 0.0000 7.5291
Cr Se In
4 8 1
direct
0.9008 0.3664 0.3664 Cr
0.3664 0.3664 0.9008 Cr
0.3664 0.9008 0.3664 Cr
0.3664 0.3664 0.3664 Cr
0.6020 0.1327 0.1327 Se
0.6090 0.6090 0.1731 Se
0.6090 0.1731 0.6090 Se
0.1731 0.6090 0.6090 Se
0.1327 0.6020 0.1327 Se
0.1327 0.1327 0.6020 Se
0.6090 0.6090 0.6090 Se
0.1327 0.1327 0.1327 Se
0.7500 0.7500 0.7500 In
```

Output
uncorrected energy: -5.839 eV/atom
V: 23.21 Å³/atom
symmetry: F-43m
raw formation energy: -0.523 eV per atom

=====

No. 4
# CrInSe2

A geometry-optimized CrInSe2 structure (PBE-GGA, the Alexandria database).

```
CrInSe2
1.0
-0.3886 -2.1983 -3.0278
0.5203 -3.7141 0.2930
-7.2369 -2.8659 0.6727
Se In Cr
2 1 1
direct
0.0601 0.0601 0.8197 Se
0.2721 0.2721 0.1838 Se
0.5010 0.5010 0.4970 In
0.6668 0.6668 0.9996 Cr
```

Output
uncorrected energy: -5.266 eV/atom
V: 22.99 Å³/atom
symmetry: R3m
raw formation energy: -0.433 eV per atom

=====

No. 5
# CrIn2Se

A geometry-optimized CrIn2Se structure (PBE-GGA, the Alexandria database).

```
CrIn2Se
1.0
3.5705 0.0000 0.0000
0.0000 4.3474 0.0126
0.0000 2.1724 6.0021
Se In Cr
1 2 1
direct
0.0000 0.6874 0.4994 Se
0.0000 0.9732 0.9287 In
0.5000 0.2995 0.2760 In
0.5000 0.5400 0.7959 Cr
```

Output
uncorrected energy: -4.606 eV/atom
V: 23.27 Å³/atom
symmetry: Pm
raw formation energy: 0.040 eV per atom

=====

No. 6
# Cr2InSe

A geometry-optimized Cr2InSe structure (PBE-GGA, the Alexandria database).

```
Cr2InSe
1.0
5.6803 0.1772 0.0000
2.8319 4.9272 0.0000
-4.2561 -2.5522 2.7693
Cr In Se
2 1 1
direct
0.2500 0.7500 0.5000 Cr
0.0000 0.0000 0.0000 Cr
0.5000 0.5000 0.0000 In
0.7500 0.2500 0.5000 Se
```

Output
uncorrected energy: -6.005 eV/atom
V: 19.03 Å³/atom
symmetry: I-4m2
offset from the most stable computed form: 240 meV/atom
raw formation energy: 0.362 eV per atom

=====

No. 7
# CrInSe2

A geometry-optimized CrInSe2 structure (PBE-GGA, the Alexandria database).

```
CrInSe2
1.0
3.5405 0.0000 0.0000
0.0000 3.9475 -0.0811
0.0000 1.3859 7.1512
In Se Cr
1 2 1
direct
0.5000 0.7500 0.7500 In
0.0000 0.1849 0.0219 Se
0.0000 0.3151 0.4781 Se
0.5000 0.2500 0.2500 Cr
```

Output
uncorrected energy: -5.015 eV/atom
V: 25.09 Å³/atom
symmetry: P2/m
raw formation energy: -0.182 eV per atom

=====

No. 8
# CrIn2Se

A geometry-optimized CrIn2Se structure (PBE-GGA, the Alexandria database).

```
CrIn2Se
1.0
4.2723 0.0081 0.0227
-2.0583 5.8597 0.0114
0.1557 1.3346 3.7472
In Se Cr
2 1 1
direct
0.5000 0.0000 0.5000 In
0.0000 0.0000 0.0000 In
0.0000 0.5000 0.5000 Se
0.5000 0.5000 0.0000 Cr
```

Output
uncorrected energy: -4.518 eV/atom
V: 23.43 Å³/atom
symmetry: C2/m
raw formation energy: 0.128 eV per atom

=====

No. 9
# Cr4InSe

A geometry-optimized Cr4InSe structure (PBE-GGA, the Alexandria database).

```
Cr4InSe
1.0
0.0000 3.5180 3.5180
3.5180 0.0000 3.5180
3.5180 3.5180 0.0000
Cr In Se
4 1 1
direct
0.1220 0.6260 0.6260 Cr
0.6260 0.6260 0.1220 Cr
0.6260 0.1220 0.6260 Cr
0.6260 0.6260 0.6260 Cr
0.2500 0.2500 0.2500 In
0.0000 0.0000 0.0000 Se
```

Output
uncorrected energy: -6.927 eV/atom
V: 14.51 Å³/atom
symmetry: F-43m
raw formation energy: 0.525 eV per atom

=====

No. 10
# Cr2InSe

A geometry-optimized Cr2InSe structure (PBE-GGA, the Alexandria database).

```
Cr2InSe
1.0
-1.1418 2.6516 0.9714
0.4667 -0.8562 2.8857
6.8486 3.0259 -0.2099
Cr Se In
2 1 1
direct
0.0000 0.0000 0.0138 Cr
0.5000 0.5000 0.2021 Cr
0.5000 0.5000 0.8408 Se
0.0000 0.0000 0.4433 In
```

Output
uncorrected energy: -6.245 eV/atom
V: 17.37 Å³/atom
symmetry: P4mm
offset from the most stable computed form: 0 meV/atom
raw formation energy: 0.123 eV per atom

=====

No. 11
# Cr2InSe

A geometry-optimized Cr2InSe structure (PBE-GGA, the Alexandria database).

```
Cr2InSe
1.0
7.9498 -0.2564 -0.1515
7.3159 3.1215 -0.1515
7.3159 1.3731 2.8074
Cr In Se
2 1 1
direct
0.0102 0.0102 0.0102 Cr
0.4898 0.4898 0.4898 Cr
0.2500 0.2500 0.2500 In
0.7500 0.7500 0.7500 Se
```

Output
uncorrected energy: -6.171 eV/atom
V: 19.70 Å³/atom
symmetry: R-3m
offset from the most stable computed form: 74 meV/atom
raw formation energy: 0.196 eV per atom

=====

No. 12
# CrInSe2

A geometry-optimized CrInSe2 structure (PBE-GGA, the Alexandria database).

```
CrInSe2
1.0
-1.1275 4.7852 -4.6034
-1.3111 -0.7254 -6.5662
-1.5577 -1.5425 6.3683
Cr In Se
1 1 2
direct
0.7500 0.2500 0.5000 Cr
0.2500 0.7500 0.5000 In
0.8931 0.8931 0.0000 Se
0.6069 0.6069 0.0000 Se
```

Output
uncorrected energy: -5.058 eV/atom
V: 25.35 Å³/atom
symmetry: Immm
raw formation energy: -0.226 eV per atom